1.
DFT (PBE) results for a geometry-optimized ReI structure.

```
12
Lattice="3.5978 0.0000 0.0000 0.0000 12.6731 0.0000 0.0000 0.0000 7.1603" Properties=species:S:1:pos:R:3 pbc="T T T"
Re 0.8994 0.6707 0.3670
Re 0.8994 5.6659 0.3670
Re 0.8994 9.5048 2.8212
Re 2.6983 3.1683 4.3391
Re 2.6983 7.0072 6.7934
Re 2.6983 12.0024 6.7934
I 0.8994 3.1683 6.2538
I 0.8994 7.6009 4.6120
I 0.8994 11.4087 4.6120
I 2.6983 1.2644 2.5483
I 2.6983 5.0722 2.5483
I 2.6983 9.5048 0.9066
```

Values from the calculation:
relative energy among the computed polymorphs	721	meV/atom
magnetic moment	0.4	μB/f.u.
ΔE_f (raw)	28.814	kcal/mol of atoms

***

2.
DFT (PBE) results for a geometry-optimized Nb4AlN structure.

```
12
Lattice="6.8995 0.0000 0.0000 0.0000 4.8246 0.0000 0.0000 0.0000 6.3487" Properties=species:S:1:pos:R:3 pbc="T T T"
Nb 0.9175 1.1989 0.0000
Nb 0.9175 1.2134 3.1743
Nb 1.6100 3.4278 4.8501
Nb 1.6100 3.8091 1.6757
Nb 5.2895 1.0155 1.6757
Nb 5.2895 1.3968 4.8501
Nb 5.9819 3.6112 3.1743
Nb 5.9819 3.6257 0.0000
Al 3.4497 0.0000 3.4698
Al 3.4497 2.4123 0.2955
N 0.0000 0.0000 4.7680
N 0.0000 2.4123 1.5937
```

Values from the calculation:
magnetic moment	0.0	μB/f.u.
ΔE_f (raw)	-2.621	kcal/mol of atoms

***

3.
DFT (PBE) results for a geometry-optimized LiHfMg14 structure.

```
16
Lattice="6.3942 0.0000 0.0000 -3.1971 5.5376 0.0000 0.0000 0.0000 10.1536" Properties=species:S:1:pos:R:3 pbc="T T T"
Li 0.0000 0.0000 0.0000
Hf 0.0000 0.0000 5.0768
Mg 4.7952 2.7685 0.0000
Mg -1.5680 2.7864 5.0768
Mg 0.0000 1.8035 2.5556
Mg 0.0000 1.8035 7.5980
Mg -1.6352 4.6358 2.5556
Mg -1.6352 4.6358 7.5980
Mg 1.5680 2.7864 5.0768
Mg 0.0000 5.5023 5.0768
Mg 3.1971 0.0005 0.0000
Mg 1.5990 2.7685 0.0000
Mg 3.1971 1.8458 2.5988
Mg 3.1971 1.8458 7.5548
Mg 1.6352 4.6358 2.5556
Mg 1.6352 4.6358 7.5980
```

Values from the calculation:
relative energy among the computed polymorphs	0	meV/atom
magnetic moment	0.0	μB/f.u.
calculated formation energy	0.0254	eV per atom

***

4.
DFT (PBE) results for a geometry-optimized BaSc2Tl3 structure.

```
6
Lattice="3.7459 0.0000 0.0000 0.0000 3.7459 0.0000 0.0000 0.0000 11.9009" Properties=species:S:1:pos:R:3 pbc="T T T"
Ba 0.0000 0.0000 0.0000
Sc 0.0000 0.0000 4.2195
Sc 0.0000 0.0000 7.6813
Tl 1.8730 1.8730 2.5019
Tl 1.8730 1.8730 5.9504
Tl 1.8730 1.8730 9.3989
```

Values from the calculation:
magnetic moment	0.0	μB/f.u.
calculated formation energy	-0.2804	eV per atom

***

5.
DFT (PBE) results for a geometry-optimized CePa2Co structure.

```
12
Lattice="3.8437 0.0000 0.0000 -1.9218 3.3287 0.0000 0.0000 0.0000 20.8858" Properties=species:S:1:pos:R:3 pbc="T T T"
Ce 0.0000 0.0000 0.0000
Ce 0.0000 2.2191 13.9239
Ce 1.9218 1.1096 6.9619
Pa 0.0000 0.0000 11.8192
Pa 0.0000 0.0000 15.8922
Pa 0.0000 2.2191 4.8572
Pa 0.0000 2.2191 8.9302
Pa 1.9218 1.1096 1.9683
Pa 1.9218 1.1096 18.7811
Co 0.0000 0.0000 3.3231
Co 0.0000 2.2191 17.2470
Co 1.9218 1.1096 10.2851
```

Values from the calculation:
relative energy among the computed polymorphs	209	meV/atom
magnetic moment	0.0	μB/f.u.
calculated formation energy	0.0629	eV per atom

***

6.
DFT (PBE) results for a geometry-optimized Tl2In5Pb4 structure.

```
11
Lattice="9.3642 0.0000 0.0000 0.0000 3.6254 0.0000 -3.2038 0.0000 10.0558" Properties=species:S:1:pos:R:3 pbc="T T T"
Tl 0.6800 0.0000 1.5428
Tl 5.4804 0.0000 8.5130
In -0.9826 0.0000 6.8622
In 2.1026 0.0000 7.9368
In 3.0802 0.0000 5.0279
In 4.0578 0.0000 2.1190
In 7.1430 0.0000 3.1935
Pb 0.3926 1.8127 4.4815
Pb -0.2652 1.8127 9.5722
Pb 6.4256 1.8127 0.4836
Pb 5.7678 1.8127 5.5743
```

Values from the calculation:
magnetic moment	0.0	μB/f.u.
calculated formation energy	0.0489	eV per atom